Record 1
Sc2Al3Zn: relaxed, PBE.

Values from the calculation:
The calculation puts the density of states at the Fermi level at 3.48 states/eV/f.u.

a b c (Å): 3.2171 4.4248 7.6691
angles (deg): 90.00 90.00 90.00
Closest atoms and distances in Å follow each position.
Sites, in units of the cell vectors:
Al  0.5000  0.0000  0.1712  2 Zn 2.53, 1 Al 2.58
Al  0.5000  0.5000  0.6615  1 Zn 2.53, 2 Al 2.58
Al  0.5000  0.0000  0.8349  3 Al 2.58
Sc  0.0000  0.0000  0.5018  8 Al 3.00-3.02, 4 Zn 3.03, 2 Sc 3.22
Sc  0.0000  0.5000  0.9988  10 Al 3.01-3.05, 2 Zn 3.02, 2 Sc 3.22
Zn  0.5000  0.5000  0.3318  3 Al 2.53

***

Record 2
ScAlZn3: relaxed, PBE.

Values from the calculation:
The calculation puts the density of states at the Fermi level at 4.62 states/eV/f.u. The energy above the most stable polymorph in this dataset comes out at 0 meV/atom.

a b c (Å): 4.6861 4.6861 4.6861
angles (deg): 90.00 90.00 90.00
Closest atoms and distances in Å follow each position.
Sites, in units of the cell vectors:
Al  0.0000  0.0000  0.0000  6 Zn 2.34
Sc  0.5000  0.5000  0.5000  12 Zn 3.31
Zn  0.0000  0.0000  0.5000  2 Al 2.34
Zn  0.5000  0.0000  0.0000  2 Al 2.34
Zn  0.0000  0.5000  0.0000  2 Al 2.34

***

Record 3
ScAlZn: relaxed, PBE.

Values from the calculation:
The calculation puts the density of states at the Fermi level at 0.86 states/eV/f.u.

a b c (Å): 4.3687 4.3687 4.3687
angles (deg): 60.01 60.01 60.01
Closest atoms and distances in Å follow each position.
Sites, in units of the cell vectors:
Zn  0.0377  0.0377  0.0377  4 Sc 2.68, 4 Al 2.68
Sc  0.7877  0.7877  0.7877  4 Zn 2.68
Al  0.2878  0.2878  0.2878  4 Zn 2.68

***

Record 4
Sc11Al9Zn4: relaxed, PBE.

Values from the calculation:
The calculation puts the density of states at the Fermi level at 15.20 states/eV/f.u.

a b c (Å): 3.3156 12.2212 12.2212
angles (deg): 113.01 90.00 90.00
Closest atoms and distances in Å follow each position.
Sites, in units of the cell vectors:
Al  0.5000  0.8364  0.3701  1 Zn 2.76, 1 Al 2.79, 8 Sc 2.99-3.06
Al  0.5000  0.6299  0.1636  1 Zn 2.76, 1 Al 2.79, 8 Sc 2.99-3.06
Al  0.5000  0.2154  0.0712  1 Zn 2.78, 1 Al 2.94, 6 Sc 2.94-3.07
Al  0.5000  0.9288  0.7846  1 Zn 2.78, 1 Al 2.94, 6 Sc 2.94-3.07
Al  0.5000  0.5000  0.5000  4 Zn 2.96, 8 Sc 3.14-3.16
Al  0.5000  0.3701  0.8364  1 Zn 2.76, 1 Al 2.79, 8 Sc 2.99-3.06
Al  0.5000  0.0712  0.2154  1 Zn 2.78, 1 Al 2.94, 6 Sc 2.94-3.07
Al  0.5000  0.1636  0.6299  1 Zn 2.76, 1 Al 2.79, 8 Sc 2.99-3.06
Al  0.5000  0.7846  0.9288  1 Zn 2.78, 1 Al 2.94, 6 Sc 2.94-3.07
Sc  0.0000  0.0513  0.4068  2 Zn 2.75, 6 Al 2.95-3.02, 1 Sc 3.00
Sc  0.0000  0.8393  0.1607  8 Al 3.06-3.12, 5 Sc 3.11-3.32
Sc  0.0000  0.1607  0.8393  8 Al 3.06-3.12, 5 Sc 3.11-3.32
Sc  0.0000  0.3694  0.6306  4 Zn 2.74, 4 Al 3.01
Sc  0.0000  0.0000  0.0000  8 Al 2.94, 2 Sc 3.28
Sc  0.0000  0.3009  0.3009  4 Zn 2.72
Sc  0.0000  0.4068  0.0513  2 Zn 2.75, 6 Al 2.95-3.02, 1 Sc 3.00
Sc  0.0000  0.6991  0.6991  4 Zn 2.72
Sc  0.0000  0.9487  0.5932  2 Zn 2.75, 6 Al 2.95-3.02, 1 Sc 3.00
Sc  0.0000  0.6306  0.3694  4 Zn 2.74, 4 Al 3.01
Sc  0.0000  0.5932  0.9487  2 Zn 2.75, 6 Al 2.95-3.02, 1 Sc 3.00
Zn  0.5000  0.7578  0.5536  6 Sc 2.72-2.75, 3 Al 2.76-2.96
Zn  0.5000  0.5536  0.7578  6 Sc 2.72-2.75, 3 Al 2.76-2.96
Zn  0.5000  0.2422  0.4464  6 Sc 2.72-2.75, 3 Al 2.76-2.96
Zn  0.5000  0.4464  0.2422  6 Sc 2.72-2.75, 3 Al 2.76-2.96

***

Record 5
Sc3Al2Zn7: relaxed, PBE.

Values from the calculation:
The calculation puts the density of states at the Fermi level at 10.22 states/eV/f.u.

a b c (Å): 5.2790 5.2790 8.9298
angles (deg): 72.81 72.81 60.00
Closest atoms and distances in Å follow each position.
Sites, in units of the cell vectors:
Al  0.6655  0.6655  0.0035  6 Zn 2.63-2.64
Al  0.3345  0.3345  0.9965  6 Zn 2.63-2.64
Zn  0.4114  0.9217  0.2555  5 Zn 2.57-2.69, 2 Al 2.63-2.64
Zn  0.0783  0.5886  0.7445  5 Zn 2.57-2.69, 2 Al 2.63-2.64
Zn  0.5886  0.5886  0.7445  5 Zn 2.57-2.69, 2 Al 2.63-2.64
Zn  0.4114  0.4114  0.2555  5 Zn 2.57-2.69, 2 Al 2.63-2.64
Zn  0.5000  0.5000  0.5000  6 Zn 2.57
Zn  0.5886  0.0783  0.7445  5 Zn 2.57-2.69, 2 Al 2.63-2.64
Zn  0.9217  0.4114  0.2555  5 Zn 2.57-2.69, 2 Al 2.63-2.64
Sc  0.0000  0.0000  0.0000  6 Al 3.05, 12 Zn 3.40
Sc  0.8576  0.8576  0.4273  12 Zn 3.01-3.11, 3 Sc 3.28
Sc  0.1424  0.1424  0.5727  12 Zn 3.01-3.11, 3 Sc 3.28

***

Record 6
Sc2AlZn: relaxed, PBE.

Values from the calculation:
The calculation puts the density of states at the Fermi level at 2.78 states/eV/f.u. The energy above the most stable polymorph in this dataset comes out at 4 meV/atom.

a b c (Å): 4.7665 4.7665 4.7665
angles (deg): 60.00 60.00 60.00
Closest atoms and distances in Å follow each position.
Sites, in units of the cell vectors:
Zn  0.5000  0.5000  0.5000  8 Sc 2.92
Sc  0.2500  0.2500  0.2500  4 Al 2.92, 4 Zn 2.92
Sc  0.7500  0.7500  0.7500  4 Zn 2.92, 4 Al 2.92
Al  0.0000  0.0000  0.0000  8 Sc 2.92

***

Record 7
ScAlZn4: relaxed, PBE.

Values from the calculation:
The calculation puts the density of states at the Fermi level at 2.80 states/eV/f.u. The energy above the most stable polymorph in this dataset comes out at 124 meV/atom.

a b c (Å): 5.1971 5.1971 5.1971
angles (deg): 60.00 60.00 60.00
Closest atoms and distances in Å follow each position.
Sites, in units of the cell vectors:
Zn  0.3744  0.3744  0.3744  6 Zn 2.59-2.61
Zn  0.3744  0.8769  0.3744  6 Zn 2.59-2.61
Zn  0.3744  0.3744  0.8769  6 Zn 2.59-2.61
Zn  0.8769  0.3744  0.3744  6 Zn 2.59-2.61
Al  0.7500  0.7500  0.7500  12 Zn 3.05, 4 Sc 3.18
Sc  0.0000  0.0000  0.0000  12 Zn 3.05, 4 Al 3.18

***

Record 8
ScAlZn: relaxed, PBE.

Values from the calculation:
The calculation puts the density of states at the Fermi level at 1.86 states/eV/f.u.

a b c (Å): 4.3628 5.6970 5.5932
angles (deg): 118.72 112.94 67.82
Closest atoms and distances in Å follow each position.
Sites, in units of the cell vectors:
Al  0.1707  0.9736  0.4918  1 Zn 2.63, 2 Al 2.64, 4 Sc 2.90-2.92
Al  0.7686  0.0930  0.8058  2 Al 2.64, 2 Zn 2.71-2.87, 2 Sc 2.89-2.90
Zn  0.4505  0.5263  0.6002  2 Zn 2.62, 2 Al 2.63-2.87, 3 Sc 2.76-2.79
Zn  0.8112  0.5203  0.3165  2 Zn 2.62, 1 Al 2.71
Sc  0.4713  0.0275  0.1447  2 Zn 2.76-3.01, 4 Al 2.89-2.91
Sc  0.1195  0.5229  0.9354  4 Zn 2.79-2.94, 4 Al 2.91-3.03

***

Record 9
ScAlZn: relaxed, PBE.

Values from the calculation:
The calculation puts the density of states at the Fermi level at 1.52 states/eV/f.u.

a b c (Å): 6.0341 6.0338 3.0733
angles (deg): 75.25 75.24 29.51
Closest atoms and distances in Å follow each position.
Sites, in units of the cell vectors:
Al  0.9878  0.9878  0.0122  4 Zn 2.72, 4 Sc 2.98
Zn  0.3428  0.3428  0.6572  4 Al 2.72, 4 Sc 2.92
Sc  0.6694  0.6694  0.3306  4 Zn 2.92, 4 Al 2.98, 4 Sc 3.07

***

Record 10
Sc8AlZn2: relaxed, PBE.

Values from the calculation:
The calculation puts the density of states at the Fermi level at 14.11 states/eV/f.u. The energy above the most stable polymorph in this dataset comes out at 0 meV/atom.

a b c (Å): 4.6003 7.6527 8.1153
angles (deg): 118.13 106.47 90.00
Closest atoms and distances in Å follow each position.
Sites, in units of the cell vectors:
Sc  0.8607  0.8606  0.7212  2 Al 2.98, 8 Sc 3.04-3.17, 2 Zn 3.20
Sc  0.0000  0.6893  0.0000  7 Sc 2.90-3.19, 2 Zn 3.03
Sc  0.1393  0.1394  0.2788  2 Al 2.98, 8 Sc 3.04-3.17, 2 Zn 3.20
Sc  0.6622  0.8804  0.3245  3 Zn 2.88-2.89, 1 Al 3.08, 5 Sc 3.16-3.19
Sc  0.0000  0.3107  0.0000  7 Sc 2.90-3.19, 2 Zn 3.03
Sc  0.6622  0.4441  0.3245  3 Zn 2.88-2.89, 1 Al 3.08, 5 Sc 3.16-3.19
Sc  0.3378  0.1196  0.6755  3 Zn 2.88-2.89, 1 Al 3.08, 5 Sc 3.16-3.19
Sc  0.3378  0.5559  0.6755  3 Zn 2.88-2.89, 1 Al 3.08, 5 Sc 3.16-3.19
Zn  0.8039  0.3038  0.6076  10 Sc 2.88-3.20
Zn  0.1961  0.6962  0.3924  10 Sc 2.88-3.20
Al  0.5000  0.0000  0.0000  12 Sc 2.98-3.31

***

Record 11
Sc2AlZn16: relaxed, PBE.

Values from the calculation:
The calculation puts the density of states at the Fermi level at 5.18 states/eV/f.u.

a b c (Å): 6.7227 6.7227 6.7227
angles (deg): 82.65 82.65 82.65
Closest atoms and distances in Å follow each position.
Sites, in units of the cell vectors:
Zn  0.9998  0.3056  0.6941  8 Zn 2.57-2.74
Zn  0.3056  0.9998  0.6941  8 Zn 2.57-2.74
Zn  0.6461  0.1634  0.6461  8 Zn 2.50-2.74
Zn  0.1634  0.6461  0.6461  8 Zn 2.50-2.74
Zn  0.9998  0.6941  0.3056  8 Zn 2.57-2.74
Zn  0.0010  0.4974  0.0010  9 Zn 2.57-2.68, 1 Al 2.73
Zn  0.6461  0.6461  0.1634  8 Zn 2.50-2.74
Zn  0.3537  0.3537  0.8341  8 Zn 2.50-2.74
Zn  0.6941  0.3056  0.9998  8 Zn 2.57-2.74
Zn  0.3537  0.8341  0.3537  8 Zn 2.50-2.74
Zn  0.6941  0.9998  0.3056  8 Zn 2.57-2.74
Zn  0.8341  0.3537  0.3537  8 Zn 2.50-2.74
Zn  0.3056  0.6941  0.9998  8 Zn 2.57-2.74
Zn  0.4974  0.0010  0.0010  9 Zn 2.57-2.68, 1 Al 2.73
Zn  0.0010  0.0010  0.4974  9 Zn 2.57-2.68, 1 Al 2.73
Zn  0.1021  0.1021  0.1021  1 Al 2.61, 6 Zn 2.68-2.85
Sc  0.3333  0.3333  0.3333  16 Zn 3.02-3.35
Sc  0.6669  0.6669  0.6669  1 Al 3.07, 18 Zn 3.09-3.43
Al  0.9018  0.9018  0.9018  7 Zn 2.61-2.87

***

Record 12
Sc2AlZn3: relaxed, PBE.

Values from the calculation:
The calculation puts the density of states at the Fermi level at 4.73 states/eV/f.u. The energy above the most stable polymorph in this dataset comes out at 0 meV/atom.

a b c (Å): 5.4288 5.4288 8.2487
angles (deg): 103.23 103.23 107.74
Closest atoms and distances in Å follow each position.
Sites, in units of the cell vectors:
Zn  0.6677  0.1667  0.8344  2 Zn 2.52-2.53, 1 Al 2.54
Zn  0.8342  0.8342  0.6684  2 Zn 2.53, 1 Al 2.55
Zn  0.8333  0.3323  0.1656  2 Zn 2.52-2.53, 1 Al 2.54
Zn  0.3323  0.8333  0.1656  2 Zn 2.52-2.53, 1 Al 2.54
Zn  0.1667  0.6677  0.8344  2 Zn 2.52-2.53, 1 Al 2.54
Zn  0.1658  0.1658  0.3316  2 Zn 2.53, 1 Al 2.55
Al  0.6667  0.6667  0.3333  3 Zn 2.54-2.55
Al  0.3333  0.3333  0.6667  3 Zn 2.54-2.55
Sc  0.7522  0.7522  0.0000  10 Zn 2.98-3.00, 2 Al 3.00, 2 Sc 3.17-3.23
Sc  0.2500  0.7500  0.5000  4 Al 3.00, 8 Zn 3.00, 2 Sc 3.20
Sc  0.7500  0.2500  0.5000  4 Al 3.00, 8 Zn 3.00, 2 Sc 3.20
Sc  0.2478  0.2478  0.0000  10 Zn 2.98-3.00, 2 Al 3.00, 2 Sc 3.17-3.23

***

no.,formation enthalpy at 0 K (eV per atom),size of the total moment (μB per atom)
1,-0.457,0.000
2,0.342,0.000
3,-0.298,0.000
4,-0.416,0.000
5,-0.287,0.003
6,-0.421,0.000
7,-0.117,0.000
8,-0.293,0.000
9,-0.288,0.115
10,-0.148,0.097
11,-0.164,0.000
12,-0.397,0.028